Here is crystalline Ho3Ga6Pd5 at its relaxed geometry from Alexandria via LeMat-Bulk. Energies are from PBE-GGA.

The space group is Pmmn (No. 59, origin choice 2) and the conventional cell measures 4.303, 12.773 and 9.254 Å, with angles of 90.00, 90.00 and 90.00 degrees. The distinct sites, in fractional coordinates, are Ho at (0.250, 0.051, 0.249), Ho at (0.250, 0.750, 0.253), Ga at (0.250, 0.071, 0.592), Ga at (0.250, 0.250, 0.043), Ga at (0.250, 0.250, 0.419), Ga at (0.250, 0.598, 0.978), Pd at (0.250, 0.094, 0.867), Pd at (0.250, 0.633, 0.531) and Pd at (0.250, 0.750, 0.790).

Its formation energy is -0.81 eV per atom. As for the density of states at the Fermi level: 6.93 states/eV/f.u. The calculated total energy is -4.9405 eV/atom. As for the crystal system: orthorhombic.

---

Here is crystalline HoGa4Pd at its relaxed geometry from Alexandria via LeMat-Bulk. Energies are from PBE-GGA.

The space group is Immm (No. 71) and the conventional cell measures 4.175, 6.467 and 8.290 Å, with angles of 90.00, 90.00 and 90.00 degrees. The distinct sites, in fractional coordinates, are Ho at (0.000, 0.000, 0.000), Ga at (0.000, 0.206, 0.341) and Pd at (0.000, 0.500, 0.000).

Its formation energy is -0.40 eV per atom. As for the density of states at the Fermi level: 3.63 states/eV/f.u. The calculated total energy is -4.0503 eV/atom. As for the crystal system: orthorhombic.

---

Here is crystalline Ho8GaPd2 at its relaxed geometry from Alexandria via LeMat-Bulk. Energies are from PBE-GGA.

The space group is Cm (No. 8) and the conventional cell measures 8.495, 13.368 and 5.536 Å, with angles of 90.00, 107.12 and 90.00 degrees. The distinct sites, in fractional coordinates, are Ho at (0.000, 0.000, 0.000), Ho at (0.083, 0.376, 0.773), Ho at (0.164, 0.125, 0.580), Ho at (0.258, 0.500, 0.376), Ho at (0.370, 0.228, 0.185), Ga at (0.376, 0.000, 0.274) and Pd at (0.376, 0.303, 0.690).

Its formation energy is -0.32 eV per atom. As for the density of states at the Fermi level: 14.18 states/eV/f.u. The calculation puts the polymorph energy (0 for the lowest one) at 120 meV per atom. The calculated total energy is -4.8688 eV/atom. As for the crystal system: monoclinic.

---

Here is crystalline Ho3Ga4Pd2 at its relaxed geometry from Alexandria via LeMat-Bulk. Energies are from PBE-GGA.

The space group is C2/m (No. 12) and the conventional cell measures 10.595, 4.408 and 8.462 Å, with angles of 90.00, 114.08 and 90.00 degrees. The distinct sites, in fractional coordinates, are Ho at (0.000, 0.000, 0.000), Ho at (0.179, 0.500, 0.644), Ga at (0.021, 0.000, 0.360), Ga at (0.243, 0.500, 0.082) and Pd at (0.098, 0.500, 0.266).

Its formation energy is -0.82 eV per atom. As for the density of states at the Fermi level: 3.27 states/eV/f.u. The calculated total energy is -4.8418 eV/atom. As for the crystal system: monoclinic.

---

What did the first record say?
Here is crystalline Ho3Ga6Pd5 at its relaxed geometry from Alexandria via LeMat-Bulk. Energies are from PBE-GGA.

The space group is Pmmn (No. 59, origin choice 2) and the conventional cell measures 4.303, 12.773 and 9.254 Å, with angles of 90.00, 90.00 and 90.00 degrees. The distinct sites, in fractional coordinates, are Ho at (0.250, 0.051, 0.249), Ho at (0.250, 0.750, 0.253), Ga at (0.250, 0.071, 0.592), Ga at (0.250, 0.250, 0.043), Ga at (0.250, 0.250, 0.419), Ga at (0.250, 0.598, 0.978), Pd at (0.250, 0.094, 0.867), Pd at (0.250, 0.633, 0.531) and Pd at (0.250, 0.750, 0.790).

Its formation energy is -0.81 eV per atom. As for the density of states at the Fermi level: 6.93 states/eV/f.u. The calculated total energy is -4.9405 eV/atom. As for the crystal system: orthorhombic.